[1]
{
  "formula": "Na4Ac3DyTe8",
  "functional": "PBE",
  "state": "relaxed",
  "lattice_angstrom": [[4.6965, 2.7115, 7.5608], [-4.6965, 2.7115, 7.5608], [0.0000, -5.4230, 7.5608]],
  "species": ["Na", "Na", "Na", "Na", "Ac", "Ac", "Ac", "Dy", "Te", "Te", "Te", "Te", "Te", "Te", "Te", "Te"],
  "fractional_positions": [[0.0000, 0.0000, 0.0000], [0.0000, 0.5000, 0.5000], [0.5000, 0.0000, 0.5000], [0.5000, 0.5000, 0.0000], [0.0000, 0.0000, 0.5000], [0.0000, 0.5000, 0.0000], [0.5000, 0.0000, 0.0000], [0.5000, 0.5000, 0.5000], [0.2508, 0.2508, 0.2508], [0.2612, 0.2612, 0.7360], [0.2612, 0.7360, 0.2612], [0.2640, 0.7388, 0.7388], [0.7360, 0.2612, 0.2612], [0.7388, 0.2640, 0.7388], [0.7388, 0.7388, 0.2640], [0.7492, 0.7492, 0.7492]],
  "magmom_total_mub_per_fu": 0.0,
  "mass_density_g_cm3": 5.6,
  "formation_energy_uncorrected_ev_per_atom": -1.36
}

---

[2]
{
  "formula": "Na3Ac2DyTe6",
  "functional": "PBE",
  "state": "relaxed",
  "lattice_angstrom": [[10.1247, -2.3300, 0.0000], [10.1247, 2.3300, 0.0000], [-2.0837, 0.0000, 9.0801]],
  "species": ["Na", "Na", "Na", "Ac", "Ac", "Dy", "Te", "Te", "Te", "Te", "Te", "Te"],
  "fractional_positions": [[0.0000, 0.0000, 0.0000], [0.3328, 0.3328, 0.6674], [0.6672, 0.6672, 0.3326], [0.3359, 0.3359, 0.1727], [0.6641, 0.6641, 0.8273], [0.0000, 0.0000, 0.5000], [0.1586, 0.1586, 0.5731], [0.1662, 0.1662, 0.0836], [0.4976, 0.4976, 0.7274], [0.5024, 0.5024, 0.2726], [0.8338, 0.8338, 0.9164], [0.8414, 0.8414, 0.4269]],
  "magmom_total_mub_per_fu": 0.0,
  "mass_density_g_cm3": 5.6,
  "formation_energy_uncorrected_ev_per_atom": -1.36
}

---

[3]
{
  "formula": "NaAcDyTl",
  "functional": "PBE",
  "state": "relaxed",
  "lattice_angstrom": [[8.0133, 0.0000, 0.0000], [0.0000, 8.0133, 0.0000], [0.0000, 0.0000, 8.0133]],
  "species": ["Na", "Na", "Na", "Na", "Ac", "Ac", "Ac", "Ac", "Dy", "Dy", "Dy", "Dy", "Tl", "Tl", "Tl", "Tl"],
  "fractional_positions": [[0.0000, 0.0000, 0.0000], [0.0000, 0.5000, 0.5000], [0.5000, 0.0000, 0.5000], [0.5000, 0.5000, 0.0000], [0.2500, 0.2500, 0.2500], [0.2500, 0.7500, 0.7500], [0.7500, 0.2500, 0.7500], [0.7500, 0.7500, 0.2500], [0.2500, 0.2500, 0.7500], [0.2500, 0.7500, 0.2500], [0.7500, 0.2500, 0.2500], [0.7500, 0.7500, 0.7500], [0.0000, 0.0000, 0.5000], [0.0000, 0.5000, 0.0000], [0.5000, 0.0000, 0.0000], [0.5000, 0.5000, 0.5000]],
  "magmom_total_mub_per_fu": 0.0,
  "mass_density_g_cm3": 8.0,
  "ef_mev_per_atom": -46.2
}

---

[4]
{
  "formula": "AcDy2Nb",
  "functional": "PBE",
  "state": "relaxed",
  "lattice_angstrom": [[3.4299, 0.0000, 0.0000], [-1.7150, 2.9704, 0.0000], [0.0000, 0.0000, 35.9066]],
  "species": ["Ac", "Ac", "Ac", "Dy", "Dy", "Dy", "Dy", "Dy", "Dy", "Nb", "Nb", "Nb"],
  "fractional_positions": [[0.0000, 0.0000, 0.0000], [0.3333, 0.6667, 0.6667], [0.6667, 0.3333, 0.3333], [0.0000, 0.0000, 0.4201], [0.0000, 0.0000, 0.5799], [0.3333, 0.6667, 0.0867], [0.3333, 0.6667, 0.2466], [0.6667, 0.3333, 0.7534], [0.6667, 0.3333, 0.9133], [0.0000, 0.0000, 0.5000], [0.3333, 0.6667, 0.1667], [0.6667, 0.3333, 0.8333]],
  "magmom_total_mub_per_fu": 0.4,
  "mass_density_g_cm3": 8.8,
  "ef_mev_per_atom": 688.7
}

---

[5]
{
  "formula": "AcDyNb2O8",
  "functional": "PBE",
  "state": "relaxed",
  "lattice_angstrom": [[-2.7056, 2.7056, 5.8151], [2.7056, -2.7056, 5.8151], [2.7056, 2.7056, -5.8151]],
  "species": ["Ac", "Dy", "Nb", "Nb", "O", "O", "O", "O", "O", "O", "O", "O"],
  "fractional_positions": [[0.0000, 0.0000, 0.0000], [0.2500, 0.7500, 0.5000], [0.5000, 0.5000, 0.0000], [0.7500, 0.2500, 0.5000], [0.0075, 0.0850, 0.4291], [0.2604, 0.6608, 0.1018], [0.3392, 0.4410, 0.5996], [0.4216, 0.9925, 0.0775], [0.5590, 0.1586, 0.8982], [0.6559, 0.5784, 0.5709], [0.8414, 0.7396, 0.4004], [0.9150, 0.3441, 0.9225]],
  "magmom_total_mub_per_fu": 0.0,
  "mass_density_g_cm3": 6.9,
  "formation_energy_uncorrected_ev_per_atom": -3.07
}

---

[6]
{
  "formula": "Ac12NdDy7",
  "functional": "PBE",
  "state": "relaxed",
  "lattice_angstrom": [[10.3702, 5.9872, 2.2084], [-10.3702, 5.9872, 2.2084], [0.0000, -11.9745, 2.2084]],
  "species": ["Ac", "Ac", "Ac", "Ac", "Ac", "Ac", "Ac", "Ac", "Ac", "Ac", "Ac", "Ac", "Nd", "Dy", "Dy", "Dy", "Dy", "Dy", "Dy", "Dy"],
  "fractional_positions": [[0.0011, 0.4136, 0.5877], [0.0648, 0.0656, 0.4102], [0.0656, 0.4102, 0.0648], [0.4102, 0.0648, 0.0656], [0.4123, 0.9989, 0.5864], [0.4136, 0.5877, 0.0011], [0.5864, 0.4123, 0.9989], [0.5877, 0.0011, 0.4136], [0.5898, 0.9352, 0.9344], [0.9344, 0.5898, 0.9352], [0.9352, 0.9344, 0.5898], [0.9989, 0.5864, 0.4123], [0.5000, 0.5000, 0.5000], [0.0000, 0.0000, 0.0000], [0.1539, 0.3952, 0.3942], [0.3942, 0.1539, 0.3952], [0.3952, 0.3942, 0.1539], [0.6048, 0.6058, 0.8461], [0.6058, 0.8461, 0.6048], [0.8461, 0.6048, 0.6058]],
  "magmom_total_mub_per_fu": 0.0,
  "mass_density_g_cm3": 8.1,
  "ef_mev_per_atom": 225.3
}